Below is crystalline BRuI2N at its relaxed geometry, with properties calculated at the PBE level.

## Properties
formation energy without anion corrections	1163	meV/atom
offset from the most stable computed form	409.3	meV per atom

Cell lengths 5.5339, 5.5339, 3.7143 Å; angles 90.00, 90.00, 90.00 degrees
Closest atoms and distances in Å follow each position.
Fractional coordinates of all 5 atoms:
B1 0.0000 0.0000 0.0000  8 I 3.33, 2 B 3.71
Ru1 0.5000 0.5000 0.5000  2 N 1.86
I1 0.0000 0.5000 0.5000  2 Ru 2.77
I2 0.5000 0.0000 0.5000  2 Ru 2.77
N1 0.5000 0.5000 0.0000  2 Ru 1.86

=====

Below is crystalline BSIN2 at its relaxed geometry, with properties calculated at the PBE level.

## Properties
formation energy without anion corrections	1693	meV/atom
offset from the most stable computed form	0.0	meV per atom

Cell lengths 3.4638, 3.4638, 7.3412 Å; angles 90.00, 90.00, 90.00 degrees
Closest atoms and distances in Å follow each position.
Fractional coordinates of all 5 atoms:
B1 0.0000 0.0000 0.0000  4 N 1.73
S1 0.5000 0.5000 0.5000  4 I 2.45
I1 0.0000 0.0000 0.5000  4 S 2.45
N1 0.0000 0.5000 0.0000  2 B 1.73
N2 0.5000 0.0000 0.0000  2 B 1.73

=====

Below is crystalline BSIN2 at its relaxed geometry, with properties calculated at the PBE level.

## Properties
formation energy without anion corrections	2595	meV/atom
offset from the most stable computed form	902.2	meV per atom

Cell lengths 3.8698, 3.8698, 5.8446 Å; angles 90.00, 90.00, 90.00 degrees
Closest atoms and distances in Å follow each position.
Fractional coordinates of all 5 atoms:
B1 0.0000 0.0000 0.0000  4 S 2.74
S1 0.5000 0.5000 0.0000  4 B 2.74, 2 I 2.92
I1 0.5000 0.5000 0.5000  4 N 1.93
N1 0.0000 0.5000 0.5000  2 I 1.93
N2 0.5000 0.0000 0.5000  2 I 1.93

=====

Below is crystalline BSIN2 at its relaxed geometry, with properties calculated at the PBE level.

## Properties
formation energy without anion corrections	1965	meV/atom
offset from the most stable computed form	272.2	meV per atom

Cell lengths 3.4429, 3.4429, 7.5791 Å; angles 90.00, 90.00, 90.00 degrees
Closest atoms and distances in Å follow each position.
Fractional coordinates of all 5 atoms:
B1 0.0000 0.0000 0.0000  4 I 2.43
S1 0.5000 0.5000 0.5000  4 N 1.72
I1 0.5000 0.5000 0.0000  4 B 2.43
N1 0.0000 0.5000 0.5000  2 S 1.72
N2 0.5000 0.0000 0.5000  2 S 1.72

=====

Below is crystalline BSIN2 at its relaxed geometry, with properties calculated at the PBE level.

## Properties
formation energy without anion corrections	1796	meV/atom
offset from the most stable computed form	102.8	meV per atom

Cell lengths 3.6712, 3.6712, 4.2882 Å; angles 90.00, 90.00, 90.00 degrees
Closest atoms and distances in Å follow each position.
Fractional coordinates of all 5 atoms:
B1 0.0000 0.0000 0.0000  4 N 1.84
S1 0.0000 0.0000 0.5000  2 B 2.14
I1 0.5000 0.5000 0.5000  4 S 2.60, 8 N 2.82
N1 0.0000 0.5000 0.0000  2 B 1.84
N2 0.5000 0.0000 0.0000  2 B 1.84

=====

Below is crystalline BSb2IN at its relaxed geometry, with properties calculated at the PBE level.

## Properties
formation energy without anion corrections	1548	meV/atom
offset from the most stable computed form	0.0	meV per atom

Cell lengths 4.7754, 4.7754, 4.7717 Å; angles 90.00, 90.00, 90.00 degrees
Closest atoms and distances in Å follow each position.
Fractional coordinates of all 5 atoms:
B1 0.0000 0.0000 0.0000  8 Sb 3.38, 4 I 3.38
Sb1 0.0000 0.5000 0.5000  2 N 2.39
Sb2 0.5000 0.0000 0.5000  2 N 2.39
I1 0.5000 0.5000 0.0000  2 N 2.39
N1 0.5000 0.5000 0.5000  2 I 2.39, 4 Sb 2.39